The following is a PBE with a Hubbard U calculation of a relaxed CaMoF3 crystal, from the Alexandria database.

```
data_CaMoF3
_chemical_formula_sum 'Ca1 Mo1 F3'
_cell_length_a 4.5307
_cell_length_b 4.5307
_cell_length_c 4.5307
_cell_angle_alpha 90.00
_cell_angle_beta 90.00
_cell_angle_gamma 90.00
_space_group_name_H-M_alt 'P m -3 m'
_space_group_IT_number 221
_space_group_name_Hall '-P 4 2 3'
loop_
_atom_site_label
_atom_site_fract_x
_atom_site_fract_y
_atom_site_fract_z
Ca1 0.0000 0.0000 0.0000
Mo1 0.5000 0.5000 0.5000
F1 0.0000 0.5000 0.5000
```

Properties
- magnetization (μB/cell) = 4.20
- E_tot (eV/f.u.) = -24.05